No. 1
A relaxed structure of CsAcHgSe3. Source: Alexandria via LeMat-Bulk, functional PBE-GGA.

## Properties
As for the uncorrected energy: -3.8841 eV/atom. Its energy relative to the elements, uncorrected is -1.265 eV per atom. The density of states at the Fermi level comes out at 0.00 states/eV/cell. As for the volume: 38.73 Å³/atom.

a = 9.8417 Å, b = 4.5781 Å, c = 10.7669 Å
α = 90.00°, β = 106.65°, γ = 90.00°
Space group P2_1/m (No. 11)
One atom of each set of equivalent atoms:
Cs: 0.2104 0.2500 0.2422 [2 per cell]
Ac: 0.3283 0.7500 0.8552 [2 per cell]
Hg: 0.0875 0.2500 0.6175 [2 per cell]
Se: 0.1108 0.2500 0.8678 [2 per cell]
Se: 0.1999 0.7500 0.5370 [2 per cell]
Se: 0.4618 0.7500 0.1507 [2 per cell]

=====

No. 2
A relaxed structure of Nb3ReAu. Source: Alexandria via LeMat-Bulk, functional PBE-GGA.

## Properties
As for the formation energy from the elements: 2.07 eV per atom. As for the uncorrected energy: -7.1176 eV/atom. The density of states at the Fermi level comes out at 7.53 states/eV/cell. As for the volume: 22.94 Å³/atom.

a = 4.8585 Å, b = 4.8585 Å, c = 4.8585 Å
α = 90.00°, β = 90.00°, γ = 90.00°
Space group Pm-3m (No. 221)
One atom of each set of equivalent atoms:
Nb: 0.0000 0.0000 0.5000 [3 per cell]
Re: 0.5000 0.5000 0.5000 [1 per cell]
Au: 0.0000 0.0000 0.0000 [1 per cell]

=====

No. 3
A relaxed structure of SrScCr2Si. Source: Alexandria via LeMat-Bulk, functional PBE-GGA.

## Properties
As for the uncorrected energy: -6.0299 eV/atom. Its energy relative to the elements, uncorrected is 0.507 eV per atom. The density of states at the Fermi level comes out at 7.53 states/eV/cell. As for the volume: 24.80 Å³/atom.

a = 4.9078 Å, b = 4.9078 Å, c = 5.1485 Å
α = 90.00°, β = 90.00°, γ = 90.00°
Space group P4/mmm (No. 123)
One atom of each set of equivalent atoms:
Sr: 0.0000 0.0000 0.0000 [1 per cell]
Sc: 0.5000 0.5000 0.0000 [1 per cell]
Cr: 0.0000 0.5000 0.5000 [2 per cell]
Si: 0.5000 0.5000 0.5000 [1 per cell]

=====

No. 4
A relaxed structure of Pr6Zn3Ga. Source: Alexandria via LeMat-Bulk, functional PBE-GGA.

## Properties
As for the formation energy from the elements: -0.26 eV per atom. As for the uncorrected energy: -3.8103 eV/atom. The density of states at the Fermi level comes out at 17.65 states/eV/cell. As for the volume: 27.62 Å³/atom.

a = 9.4468 Å, b = 5.2040 Å, c = 11.7178 Å
α = 90.00°, β = 106.47°, γ = 90.00°
Space group P2_1/m (No. 11)
One atom of each set of equivalent atoms:
Pr: 0.0175 0.2500 0.3990 [2 per cell]
Pr: 0.1532 0.7500 0.1787 [2 per cell]
Pr: 0.2352 0.2500 0.9940 [2 per cell]
Pr: 0.3560 0.7500 0.8344 [2 per cell]
Pr: 0.3772 0.2500 0.3476 [2 per cell]
Pr: 0.3819 0.2500 0.6234 [2 per cell]
Zn: 0.0327 0.7500 0.8784 [2 per cell]
Zn: 0.1184 0.2500 0.7221 [2 per cell]
Zn: 0.2697 0.7500 0.4685 [2 per cell]
Ga: 0.4479 0.7500 0.1116 [2 per cell]

=====

No. 5
A relaxed structure of NbBiP3. Source: Alexandria via LeMat-Bulk, functional PBE-GGA.

## Properties
As for the formation energy from the elements: 1.78 eV per atom. As for the uncorrected energy: -4.2519 eV/atom. The density of states at the Fermi level comes out at 8.27 states/eV/cell. As for the volume: 25.74 Å³/atom.

a = 5.0487 Å, b = 5.0487 Å, c = 5.0487 Å
α = 90.00°, β = 90.00°, γ = 90.00°
Space group Pm-3m (No. 221)
One atom of each set of equivalent atoms:
Nb: 0.0000 0.0000 0.0000 [1 per cell]
Bi: 0.5000 0.5000 0.5000 [1 per cell]
P: 0.0000 0.5000 0.5000 [3 per cell]

=====

No. 6
A relaxed structure of RbPaTe2O8. Source: Alexandria via LeMat-Bulk, functional PBE-GGA.

## Properties
As for the uncorrected energy: -6.3752 eV/atom. Its energy relative to the elements, uncorrected is -1.674 eV per atom. The density of states at the Fermi level comes out at 6.22 states/eV/cell. As for the volume: 23.20 Å³/atom.

a = 6.3126 Å, b = 6.3126 Å, c = 8.0681 Å
α = 90.00°, β = 90.00°, γ = 120.00°
Space group P-3m1 (No. 164)
One atom of each set of equivalent atoms:
Rb: 0.0000 0.0000 0.0000 [1 per cell]
Pa: 0.0000 0.0000 0.5000 [1 per cell]
Te: 0.3333 0.6667 0.7237 [2 per cell]
O: 0.1562 0.3124 0.6664 [6 per cell]
O: 0.3333 0.6667 0.9487 [2 per cell]

=====

No. 7
A relaxed structure of PmSm2Ag. Source: Alexandria via LeMat-Bulk, functional PBE-GGA.

## Properties
As for the formation energy from the elements: -0.06 eV per atom. As for the uncorrected energy: -4.3230 eV/atom. The density of states at the Fermi level comes out at 20.42 states/eV/cell. As for the volume: 30.46 Å³/atom.

a = 5.0331 Å, b = 12.0218 Å, c = 8.0557 Å
α = 90.00°, β = 90.00°, γ = 90.00°
Space group Cmcm (No. 63)
One atom of each set of equivalent atoms:
Pm: 0.0000 0.0528 0.2500 [4 per cell]
Sm: 0.0000 0.3596 0.0340 [8 per cell]
Ag: 0.0000 0.2048 0.7500 [4 per cell]

=====

No. 8
A relaxed structure of Zn2FeOsSe. Source: Alexandria via LeMat-Bulk, functional PBE-GGA.

## Properties
As for the uncorrected energy: -3.7910 eV/atom. Its energy relative to the elements, uncorrected is 1.354 eV per atom. The density of states at the Fermi level comes out at 4.14 states/eV/cell. As for the volume: 18.72 Å³/atom.

a = 4.6534 Å, b = 4.6534 Å, c = 4.3224 Å
α = 90.00°, β = 90.00°, γ = 90.00°
Space group P4/mmm (No. 123)
One atom of each set of equivalent atoms:
Zn: 0.0000 0.5000 0.0000 [2 per cell]
Fe: 0.0000 0.0000 0.5000 [1 per cell]
Os: 0.5000 0.5000 0.5000 [1 per cell]
Se: 0.0000 0.0000 0.0000 [1 per cell]

=====

No. 9
A relaxed structure of Cs2Rb6HgF. Source: Alexandria via LeMat-Bulk, functional PBE-GGA.

## Properties
As for the uncorrected energy: -1.5152 eV/atom. Its energy relative to the elements, uncorrected is -0.547 eV per atom. The density of states at the Fermi level comes out at 9.22 states/eV/cell. As for the volume: 75.11 Å³/atom.

a = 9.9143 Å, b = 9.9336 Å, c = 9.9342 Å
α = 107.05°, β = 114.08°, γ = 107.20°
Space group P1 (No. 1)
One atom of each set of equivalent atoms:
Cs: 0.0000 0.0000 0.0000 [1 per cell]
Cs: 0.4244 0.3879 0.9663 [1 per cell]
Rb: 0.3316 0.8999 0.4310 [1 per cell]
Rb: 0.3997 0.8624 0.8804 [1 per cell]
Rb: 0.4400 0.5238 0.4990 [1 per cell]
Rb: 0.8258 0.9789 0.4117 [1 per cell]
Rb: 0.8565 0.4105 0.8122 [1 per cell]
Rb: 0.9553 0.4912 0.3989 [1 per cell]
Hg: 0.5298 0.1929 0.2989 [1 per cell]
F: 0.2842 0.6946 0.5546 [1 per cell]

=====

No. 10
A relaxed structure of PmSbRh2. Source: Alexandria via LeMat-Bulk, functional PBE-GGA.

## Properties
As for the uncorrected energy: -6.3909 eV/atom. Its energy relative to the elements, uncorrected is -0.497 eV per atom. The density of states at the Fermi level comes out at 2.65 states/eV/cell. As for the volume: 19.89 Å³/atom.

a = 3.5370 Å, b = 3.5370 Å, c = 6.3592 Å
α = 90.00°, β = 90.00°, γ = 90.00°
Space group P4/mmm (No. 123)
One atom of each set of equivalent atoms:
Pm: 0.0000 0.0000 0.0000 [1 per cell]
Sb: 0.0000 0.0000 0.5000 [1 per cell]
Rh: 0.5000 0.5000 0.2714 [2 per cell]

=====

No. 11
A relaxed structure of LaNdCuTc. Source: Alexandria via LeMat-Bulk, functional PBE-GGA.

## Properties
As for the formation energy from the elements: 0.06 eV per atom. As for the uncorrected energy: -5.9760 eV/atom. The density of states at the Fermi level comes out at 18.48 states/eV/cell. As for the volume: 22.97 Å³/atom.

a = 7.1630 Å, b = 7.1630 Å, c = 7.1630 Å
α = 90.00°, β = 90.00°, γ = 90.00°
Space group F-43m (No. 216)
One atom of each set of equivalent atoms:
La: 0.0000 0.0000 0.0000 [4 per cell]
Nd: 0.0000 0.0000 0.5000 [4 per cell]
Cu: 0.2500 0.2500 0.7500 [4 per cell]
Tc: 0.2500 0.2500 0.2500 [4 per cell]

=====

No. 12
A relaxed structure of CaMgRu3. Source: Alexandria via LeMat-Bulk, functional PBE-GGA.

## Properties
As for the formation energy from the elements: 1.26 eV per atom. As for the uncorrected energy: -5.0271 eV/atom. The density of states at the Fermi level comes out at 6.00 states/eV/cell. As for the volume: 19.81 Å³/atom.

a = 4.6272 Å, b = 4.6272 Å, c = 4.6272 Å
α = 90.00°, β = 90.00°, γ = 90.00°
Space group Pm-3m (No. 221)
One atom of each set of equivalent atoms:
Ca: 0.0000 0.0000 0.0000 [1 per cell]
Mg: 0.5000 0.5000 0.5000 [1 per cell]
Ru: 0.0000 0.5000 0.5000 [3 per cell]